1.
The following is a PBE calculation of crystalline LiDyMg2Cd4 at its relaxed geometry, from the Alexandria database.

Calculated values
Its crystal system is trigonal. The density of states at the Fermi level comes out at 4.39 states/eV/f.u.

a = 8.8084 Å, b = 8.8084 Å, c = 8.8084 Å
α = 32.56°, β = 32.56°, γ = 32.56°
Fractional positions:
Li 0.0000 0.0000 0.0000
Dy 0.5000 0.5000 0.5000
Mg 0.2491 0.2491 0.2491
Mg 0.7509 0.7509 0.7509
Cd 0.1157 0.1157 0.1157
Cd 0.3712 0.3712 0.3712
Cd 0.6288 0.6288 0.6288
Cd 0.8843 0.8843 0.8843

***

2.
The following is a PBE calculation of crystalline Li2Dy2MgCd5 at its relaxed geometry, from the Alexandria database.

Calculated values
Its crystal system is tetragonal. The density of states at the Fermi level comes out at 4.84 states/eV/f.u.

a = 10.5422 Å, b = 10.5422 Å, c = 3.9083 Å
α = 90.00°, β = 90.00°, γ = 90.00°
Fractional positions:
Li 0.1182 0.3818 0.0000
Li 0.3818 0.8818 0.0000
Li 0.6182 0.1182 0.0000
Li 0.8818 0.6182 0.0000
Dy 0.1799 0.6799 0.0000
Dy 0.3201 0.1799 0.0000
Dy 0.6799 0.8201 0.0000
Dy 0.8201 0.3201 0.0000
Mg 0.0000 0.0000 0.0000
Mg 0.5000 0.5000 0.0000
Cd 0.0000 0.5000 0.5000
Cd 0.0607 0.2069 0.5000
Cd 0.2069 0.9393 0.5000
Cd 0.2931 0.4393 0.5000
Cd 0.4393 0.7069 0.5000
Cd 0.5000 0.0000 0.5000
Cd 0.5607 0.2931 0.5000
Cd 0.7069 0.5607 0.5000
Cd 0.7931 0.0607 0.5000
Cd 0.9393 0.7931 0.5000

***

3.
The following is a PBE calculation of crystalline NaLiDyCd at its relaxed geometry, from the Alexandria database.

Calculated values
Its crystal system is cubic. The density of states at the Fermi level comes out at 4.73 states/eV/f.u.

a = 5.2245 Å, b = 5.2245 Å, c = 5.2245 Å
α = 60.00°, β = 60.00°, γ = 60.00°
Fractional positions:
Na 0.0000 0.0000 0.0000
Li 0.7500 0.7500 0.7500
Dy 0.5000 0.5000 0.5000
Cd 0.2500 0.2500 0.2500

***

4.
The following is a PBE calculation of crystalline Li2NdDyCd4 at its relaxed geometry, from the Alexandria database.

Calculated values
Its crystal system is trigonal. The density of states at the Fermi level comes out at 6.08 states/eV/f.u.

a = 8.8750 Å, b = 8.8750 Å, c = 8.8750 Å
α = 33.38°, β = 33.38°, γ = 33.38°
Fractional positions:
Li 0.2487 0.2487 0.2487
Li 0.7513 0.7513 0.7513
Nd 0.0000 0.0000 0.0000
Dy 0.5000 0.5000 0.5000
Cd 0.1268 0.1268 0.1268
Cd 0.3777 0.3777 0.3777
Cd 0.6223 0.6223 0.6223
Cd 0.8732 0.8732 0.8732

***

5.
The following is a PBE calculation of crystalline LiNdDyCd at its relaxed geometry, from the Alexandria database.

Calculated values
Its crystal system is cubic. The density of states at the Fermi level comes out at 5.80 states/eV/f.u.

a = 5.3425 Å, b = 5.3425 Å, c = 5.3425 Å
α = 60.00°, β = 60.00°, γ = 60.00°
Fractional positions:
Li 0.0000 0.0000 0.0000
Nd 0.7500 0.7500 0.7500
Dy 0.2500 0.2500 0.2500
Cd 0.5000 0.5000 0.5000

***

6.
The following is a PBE calculation of crystalline LiDyCdNi at its relaxed geometry, from the Alexandria database.

Calculated values
Its crystal system is cubic. The density of states at the Fermi level comes out at 5.06 states/eV/f.u.

a = 4.6965 Å, b = 4.6965 Å, c = 4.6965 Å
α = 60.00°, β = 60.00°, γ = 60.00°
Fractional positions:
Li 0.0000 0.0000 0.0000
Dy 0.7500 0.7500 0.7500
Cd 0.2500 0.2500 0.2500
Ni 0.5000 0.5000 0.5000

***

7.
The following is a PBE calculation of crystalline LiDyCdPb at its relaxed geometry, from the Alexandria database.

Calculated values
As for the polymorph energy (0 for the lowest one): 0.00 eV/f.u. Its crystal system is cubic. The density of states at the Fermi level comes out at 1.26 states/eV/f.u.

a = 5.1657 Å, b = 5.1657 Å, c = 5.1657 Å
α = 60.00°, β = 60.00°, γ = 60.00°
Fractional positions:
Li 0.0000 0.0000 0.0000
Dy 0.5000 0.5000 0.5000
Cd 0.7500 0.7500 0.7500
Pb 0.2500 0.2500 0.2500

***

8.
The following is a PBE calculation of crystalline LiDyCdPb at its relaxed geometry, from the Alexandria database.

Calculated values
As for the polymorph energy (0 for the lowest one): 0.01 eV/f.u. Its crystal system is orthorhombic. The density of states at the Fermi level comes out at 1.67 states/eV/f.u.

a = 4.2509 Å, b = 4.6740 Å, c = 4.9050 Å
α = 90.00°, β = 90.00°, γ = 90.00°
Fractional positions:
Li 0.0000 0.0000 0.0000
Dy 0.0000 0.5000 0.5000
Cd 0.5000 0.5000 0.0000
Pb 0.5000 0.0000 0.5000

***

9.
The following is a PBE calculation of crystalline LiDyCd2Pd4 at its relaxed geometry, from the Alexandria database.

Calculated values
Its crystal system is trigonal. The density of states at the Fermi level comes out at 3.41 states/eV/f.u.

a = 8.0402 Å, b = 8.0402 Å, c = 8.0402 Å
α = 33.66°, β = 33.66°, γ = 33.66°
Fractional positions:
Li 0.0000 0.0000 0.0000
Dy 0.5000 0.5000 0.5000
Cd 0.2527 0.2527 0.2527
Cd 0.7473 0.7473 0.7473
Pd 0.1180 0.1180 0.1180
Pd 0.3743 0.3743 0.3743
Pd 0.6257 0.6257 0.6257
Pd 0.8820 0.8820 0.8820

***

10.
The following is a PBE calculation of crystalline LiDyCdPd at its relaxed geometry, from the Alexandria database.

Calculated values
Its crystal system is cubic. The density of states at the Fermi level comes out at 4.67 states/eV/f.u.

a = 4.8163 Å, b = 4.8163 Å, c = 4.8163 Å
α = 60.00°, β = 60.00°, γ = 60.00°
Fractional positions:
Li 0.0000 0.0000 0.0000
Dy 0.7500 0.7500 0.7500
Cd 0.2500 0.2500 0.2500
Pd 0.5000 0.5000 0.5000

***

11.
The following is a PBE calculation of crystalline Li2Dy2CdPd5 at its relaxed geometry, from the Alexandria database.

Calculated values
Its crystal system is tetragonal. The density of states at the Fermi level comes out at 5.34 states/eV/f.u.

a = 9.5774 Å, b = 9.5774 Å, c = 3.7420 Å
α = 90.00°, β = 90.00°, γ = 90.00°
Fractional positions:
Li 0.1184 0.3816 0.0000
Li 0.3816 0.8816 0.0000
Li 0.6184 0.1184 0.0000
Li 0.8816 0.6184 0.0000
Dy 0.1797 0.6797 0.0000
Dy 0.3203 0.1797 0.0000
Dy 0.6797 0.8203 0.0000
Dy 0.8203 0.3203 0.0000
Cd 0.0000 0.0000 0.0000
Cd 0.5000 0.5000 0.0000
Pd 0.0000 0.5000 0.5000
Pd 0.0693 0.2109 0.5000
Pd 0.2109 0.9307 0.5000
Pd 0.2891 0.4307 0.5000
Pd 0.4307 0.7109 0.5000
Pd 0.5000 0.0000 0.5000
Pd 0.5693 0.2891 0.5000
Pd 0.7109 0.5693 0.5000
Pd 0.7891 0.0693 0.5000
Pd 0.9307 0.7891 0.5000

***

12.
The following is a PBE calculation of crystalline Li2PmDyCd4 at its relaxed geometry, from the Alexandria database.

Calculated values
Its crystal system is trigonal. The density of states at the Fermi level comes out at 6.09 states/eV/f.u.

a = 8.8438 Å, b = 8.8438 Å, c = 8.8438 Å
α = 33.44°, β = 33.44°, γ = 33.44°
Fractional positions:
Li 0.2490 0.2490 0.2490
Li 0.7510 0.7510 0.7510
Pm 0.0000 0.0000 0.0000
Dy 0.5000 0.5000 0.5000
Cd 0.1264 0.1264 0.1264
Cd 0.3771 0.3771 0.3771
Cd 0.6229 0.6229 0.6229
Cd 0.8736 0.8736 0.8736

***

no.,E (eV/atom),energy of formation (eV per atom)
1,-1.9012,-0.231
2,-2.1499,-0.230
3,-2.1411,0.046
4,-2.3741,-0.267
5,-3.1644,-0.115
6,-3.4998,-0.197
7,-3.1429,-0.358
8,-3.1404,-0.356
9,-4.2191,-0.579
10,-3.6233,-0.467
11,-4.6322,-0.641
12,-2.3723,-0.267